1.
V3RhF | PBE+U | optimized geometry

Cell lengths 4.2954, 4.2954, 4.2954 Å; angles 90.00, 90.00, 90.00 degrees
Fractional coordinates of all 5 atoms:
V: 0.0000 0.0000 0.5000
V: 0.0000 0.5000 0.0000
V: 0.5000 0.0000 0.0000
Rh: 0.5000 0.5000 0.5000
F: 0.0000 0.0000 0.0000

Properties
Its theoretical density is 5.8 Mg/m³. Its calculated total energy is -5.98 eV/atom. The offset from the most stable computed form is 0.0000 eV per atom.

---

2.
V3RhF | PBE+U | optimized geometry

Cell lengths 4.9011, 4.9011, 4.9011 Å; angles 90.00, 90.00, 90.00 degrees
Fractional coordinates of all 5 atoms:
V: 0.0000 0.0000 0.5000
V: 0.0000 0.5000 0.0000
V: 0.5000 0.0000 0.0000
Rh: 0.0000 0.0000 0.0000
F: 0.5000 0.5000 0.5000

Properties
Its theoretical density is 3.9 Mg/m³. Its calculated total energy is -5.31 eV/atom. The offset from the most stable computed form is 0.6764 eV per atom.

---

3.
V2RhWF | PBE+U | optimized geometry

Cell lengths 3.8858, 3.8858, 4.7125 Å; angles 90.00, 90.00, 90.00 degrees
Fractional coordinates of all 5 atoms:
V: 0.0000 0.5000 0.0000
V: 0.5000 0.0000 0.0000
Rh: 0.0000 0.0000 0.5000
W: 0.5000 0.5000 0.5000
F: 0.0000 0.0000 0.0000

Properties
Its theoretical density is 9.5 Mg/m³. Its calculated total energy is -5.36 eV/atom.

---

4.
Rh3WF | PBE+U | optimized geometry

Cell lengths 4.2038, 4.2038, 4.2038 Å; angles 90.00, 90.00, 90.00 degrees
Fractional coordinates of all 5 atoms:
Rh: 0.0000 0.0000 0.5000
Rh: 0.0000 0.5000 0.0000
Rh: 0.5000 0.0000 0.0000
W: 0.5000 0.5000 0.5000
F: 0.0000 0.0000 0.0000

Properties
Its theoretical density is 11.4 Mg/m³. Its calculated total energy is -5.33 eV/atom. The offset from the most stable computed form is 0.0000 eV per atom.

---

5.
Rh3WF | PBE+U | optimized geometry

Cell lengths 4.7786, 4.7786, 4.7786 Å; angles 90.00, 90.00, 90.00 degrees
Fractional coordinates of all 5 atoms:
Rh: 0.0000 0.0000 0.5000
Rh: 0.0000 0.5000 0.0000
Rh: 0.5000 0.0000 0.0000
W: 0.0000 0.0000 0.0000
F: 0.5000 0.5000 0.5000

Properties
Its theoretical density is 7.8 Mg/m³. Its calculated total energy is -4.87 eV/atom. The offset from the most stable computed form is 0.4544 eV per atom.

---

6.
RhWF3 | PBE+U | optimized geometry

Cell lengths 4.2932, 4.2932, 4.2932 Å; angles 90.00, 90.00, 90.00 degrees
Fractional coordinates of all 5 atoms:
Rh: 0.0000 0.0000 0.0000
W: 0.5000 0.5000 0.5000
F: 0.0000 0.5000 0.5000
F: 0.5000 0.0000 0.5000
F: 0.5000 0.5000 0.0000

Properties
Its theoretical density is 7.2 Mg/m³. Its calculated total energy is -5.05 eV/atom. The offset from the most stable computed form is 0.0000 eV per atom.

---

7.
RhWF3 | PBE+U | optimized geometry

Cell lengths 4.2610, 4.2610, 4.2610 Å; angles 90.00, 90.00, 90.00 degrees
Fractional coordinates of all 5 atoms:
Rh: 0.0000 0.0000 0.0000
W: 0.5000 0.5000 0.5000
F: 0.0000 0.0000 0.5000
F: 0.0000 0.5000 0.0000
F: 0.5000 0.0000 0.0000

Properties
Its theoretical density is 7.4 Mg/m³. Its calculated total energy is -4.32 eV/atom. The offset from the most stable computed form is 0.7268 eV per atom.

---

8.
ZrRhWF2 | PBE+U | optimized geometry

Cell lengths 4.0228, 4.0228, 6.3753 Å; angles 90.00, 90.00, 90.00 degrees
Fractional coordinates of all 5 atoms:
Zr: 0.0000 0.0000 0.0000
Rh: 0.5000 0.5000 0.0000
W: 0.0000 0.0000 0.5000
F: 0.0000 0.5000 0.5000
F: 0.5000 0.0000 0.5000

Properties
Its theoretical density is 6.7 Mg/m³. Its calculated total energy is -6.00 eV/atom.